Computed, not measured: Cd2SbW after structural relaxation at the GGA-PBE level of DFT. Values from VASP.

Structure (Quantum ESPRESSO input):
```
&SYSTEM
  ibrav = 0, nat = 4, ntyp = 3
/
ATOMIC_SPECIES
Sb 121.76 Sb.upf
W 183.84 W.upf
Cd 112.41 Cd.upf
CELL_PARAMETERS angstrom
-3.1385 4.4503 2.2100
-1.3747 -2.7670 -4.9994
-2.4045 -1.5642 0.9776
ATOMIC_POSITIONS crystal
Sb 0.5000 0.0000 0.5000
W 0.0000 0.5000 0.5000
Cd 0.0000 0.0000 0.0000
Cd 0.5000 0.5000 0.0000
```

Properties
**Total magnetic moment**: 0.000 μB per formula unit
**Raw formation energy**: 676 meV/atom
**Raw total energy**: -4.05 eV/atom
**Fermi-level density of states**: 2.2 states/eV per cell
**Theoretical density**: 10.67 g/cm³

=====

Computed, not measured: CdSb2W after structural relaxation at the GGA-PBE level of DFT. Values from VASP.

Structure (Quantum ESPRESSO input):
```
&SYSTEM
  ibrav = 0, nat = 4, ntyp = 3
/
ATOMIC_SPECIES
Sb 121.76 Sb.upf
W 183.84 W.upf
Cd 112.41 Cd.upf
CELL_PARAMETERS angstrom
-3.0091 2.5634 4.1559
-5.0677 -2.3209 1.3526
5.3793 -1.8586 -0.7118
ATOMIC_POSITIONS crystal
Sb 0.0000 0.0000 0.0000
Sb 0.2500 0.7500 0.5000
W 0.5000 0.5000 0.0000
Cd 0.7500 0.2500 0.5000
```

Properties
**Total magnetic moment**: 1.441 μB per formula unit
**Raw formation energy**: 811 meV/atom
**Raw total energy**: -4.72 eV/atom
**Fermi-level density of states**: 3.1 states/eV per cell
**Theoretical density**: 10.20 g/cm³

=====

Computed, not measured: CdSb2W after structural relaxation at the GGA-PBE level of DFT. Values from VASP.

Structure (Quantum ESPRESSO input):
```
&SYSTEM
  ibrav = 0, nat = 4, ntyp = 3
/
ATOMIC_SPECIES
Sb 121.76 Sb.upf
W 183.84 W.upf
Cd 112.41 Cd.upf
CELL_PARAMETERS angstrom
4.9283 0.0503 -0.0279
-0.9155 4.8427 -0.0279
0.0194 0.0237 3.5655
ATOMIC_POSITIONS crystal
Sb 0.0000 0.0000 0.0000
Sb 0.5000 0.5000 0.0000
W 0.5000 0.0000 0.5000
Cd 0.0000 0.5000 0.5000
```

Properties
**Total magnetic moment**: 0.000 μB per formula unit
**Raw formation energy**: 717 meV/atom
**Raw total energy**: -4.81 eV/atom
**Fermi-level density of states**: 2.3 states/eV per cell
**Theoretical density**: 10.51 g/cm³

=====

Computed, not measured: Cd2SbW after structural relaxation at the GGA-PBE level of DFT. Values from VASP.

Structure (Quantum ESPRESSO input):
```
&SYSTEM
  ibrav = 0, nat = 4, ntyp = 3
/
ATOMIC_SPECIES
Sb 121.76 Sb.upf
W 183.84 W.upf
Cd 112.41 Cd.upf
CELL_PARAMETERS angstrom
5.5221 0.0235 0.0000
-2.4996 4.9240 0.0000
0.0000 0.0000 3.0117
ATOMIC_POSITIONS crystal
Sb 0.5000 0.0000 0.5000
W 0.0000 0.5000 0.5000
Cd 0.0000 0.0000 0.0000
Cd 0.5000 0.5000 0.0000
```

Properties
**Total magnetic moment**: 0.000 μB per formula unit
**Raw formation energy**: 650 meV/atom
**Raw total energy**: -4.08 eV/atom
**Fermi-level density of states**: 2.5 states/eV per cell
**Theoretical density**: 10.73 g/cm³

=====

Computed, not measured: Cd2SbW after structural relaxation at the GGA-PBE level of DFT. Values from VASP.

Structure (Quantum ESPRESSO input):
```
&SYSTEM
  ibrav = 0, nat = 4, ntyp = 3
/
ATOMIC_SPECIES
Sb 121.76 Sb.upf
W 183.84 W.upf
Cd 112.41 Cd.upf
CELL_PARAMETERS angstrom
10.8747 -0.0068 -0.0040
10.4514 3.0044 -0.0040
10.4514 1.4690 2.6207
ATOMIC_POSITIONS crystal
Sb 0.2500 0.2500 0.2500
W 0.7500 0.7500 0.7500
Cd 0.0086 0.0086 0.0086
Cd 0.4914 0.4914 0.4914
```

Properties
**Total magnetic moment**: 0.288 μB per formula unit
**Raw formation energy**: 646 meV/atom
**Raw total energy**: -4.08 eV/atom
**Fermi-level density of states**: 5.0 states/eV per cell
**Theoretical density**: 10.25 g/cm³

=====

Computed, not measured: CdSbW2 after structural relaxation at the GGA-PBE level of DFT. Values from VASP.

Structure (Quantum ESPRESSO input):
```
&SYSTEM
  ibrav = 0, nat = 4, ntyp = 3
/
ATOMIC_SPECIES
Sb 121.76 Sb.upf
W 183.84 W.upf
Cd 112.41 Cd.upf
CELL_PARAMETERS angstrom
9.3716 -0.0152 -0.0089
8.8797 2.9965 -0.0089
8.8797 1.4505 2.6221
ATOMIC_POSITIONS crystal
Sb 0.7500 0.7500 0.7500
W 0.0038 0.0038 0.0038
W 0.4962 0.4962 0.4962
Cd 0.2500 0.2500 0.2500
```

Properties
**Total magnetic moment**: 0.000 μB per formula unit
**Raw formation energy**: 781 meV/atom
**Raw total energy**: -6.95 eV/atom
**Fermi-level density of states**: 2.9 states/eV per cell
**Theoretical density**: 13.46 g/cm³

=====

Computed, not measured: CdSbW2 after structural relaxation at the GGA-PBE level of DFT. Values from VASP.

Structure (Quantum ESPRESSO input):
```
&SYSTEM
  ibrav = 0, nat = 4, ntyp = 3
/
ATOMIC_SPECIES
Sb 121.76 Sb.upf
W 183.84 W.upf
Cd 112.41 Cd.upf
CELL_PARAMETERS angstrom
-2.8967 1.1500 3.5549
0.1341 -2.4453 4.0439
1.7401 1.9993 3.9147
ATOMIC_POSITIONS crystal
Sb 0.7500 0.7500 0.7500
W 0.0000 0.0000 0.0000
W 0.2500 0.2500 0.2500
Cd 0.5000 0.5000 0.5000
```

Properties
**Total magnetic moment**: 0.000 μB per formula unit
**Raw formation energy**: 860 meV/atom
**Raw total energy**: -6.88 eV/atom
**Fermi-level density of states**: 2.6 states/eV per cell
**Theoretical density**: 13.38 g/cm³

=====

Computed, not measured: Cd2SbW after structural relaxation at the GGA-PBE level of DFT. Values from VASP.

Structure (Quantum ESPRESSO input):
```
&SYSTEM
  ibrav = 0, nat = 4, ntyp = 3
/
ATOMIC_SPECIES
Sb 121.76 Sb.upf
W 183.84 W.upf
Cd 112.41 Cd.upf
CELL_PARAMETERS angstrom
-2.0217 -4.4525 0.0201
2.6606 -3.8875 1.3120
-0.8983 -2.2583 4.2433
ATOMIC_POSITIONS crystal
Sb 0.5000 0.5000 0.5000
W 0.7500 0.7500 0.7500
Cd 0.0000 0.0000 0.0000
Cd 0.2500 0.2500 0.2500
```

Properties
**Total magnetic moment**: 0.722 μB per formula unit
**Raw formation energy**: 828 meV/atom
**Raw total energy**: -3.90 eV/atom
**Fermi-level density of states**: 3.6 states/eV per cell
**Theoretical density**: 10.65 g/cm³

=====

Computed, not measured: CdSb2W after structural relaxation at the GGA-PBE level of DFT. Values from VASP.

Structure (Quantum ESPRESSO input):
```
&SYSTEM
  ibrav = 0, nat = 4, ntyp = 3
/
ATOMIC_SPECIES
Sb 121.76 Sb.upf
W 183.84 W.upf
Cd 112.41 Cd.upf
CELL_PARAMETERS angstrom
-0.0986 2.6831 1.8616
1.4992 -1.6174 2.4105
7.6051 2.4300 -3.0996
ATOMIC_POSITIONS crystal
Sb 0.0000 0.0000 0.9897
Sb 0.5000 0.5000 0.3086
W 0.0000 0.0000 0.4899
Cd 0.5000 0.5000 0.7118
```

Properties
**Total magnetic moment**: 0.000 μB per formula unit
**Raw formation energy**: 547 meV/atom
**Raw total energy**: -4.98 eV/atom
**Fermi-level density of states**: 4.5 states/eV per cell
**Theoretical density**: 9.80 g/cm³

=====

Computed, not measured: CdSbW2 after structural relaxation at the GGA-PBE level of DFT. Values from VASP.

Structure (Quantum ESPRESSO input):
```
&SYSTEM
  ibrav = 0, nat = 4, ntyp = 3
/
ATOMIC_SPECIES
Sb 121.76 Sb.upf
W 183.84 W.upf
Cd 112.41 Cd.upf
CELL_PARAMETERS angstrom
-4.3035 -3.1636 -1.3370
-1.0912 -4.1602 3.4377
0.5166 5.4709 -0.3440
ATOMIC_POSITIONS crystal
Sb 0.2334 0.7334 0.5000
W 0.9869 0.9869 0.0000
W 0.7733 0.2733 0.5000
Cd 0.5064 0.5064 0.0000
```

Properties
**Total magnetic moment**: 0.000 μB per formula unit
**Raw formation energy**: 721 meV/atom
**Raw total energy**: -7.01 eV/atom
**Fermi-level density of states**: 2.5 states/eV per cell
**Theoretical density**: 13.24 g/cm³

=====

Computed, not measured: CdSb2W after structural relaxation at the GGA-PBE level of DFT. Values from VASP.

Structure (Quantum ESPRESSO input):
```
&SYSTEM
  ibrav = 0, nat = 4, ntyp = 3
/
ATOMIC_SPECIES
Sb 121.76 Sb.upf
W 183.84 W.upf
Cd 112.41 Cd.upf
CELL_PARAMETERS angstrom
4.9381 -0.2598 0.3124
3.7127 3.2662 0.3124
0.3089 0.1073 5.9365
ATOMIC_POSITIONS crystal
Sb 0.0473 0.0473 0.2675
Sb 0.6947 0.6947 0.6419
W 0.4111 0.4111 0.5548
Cd 0.3469 0.3469 0.0358
```

Properties
**Total magnetic moment**: 0.000 μB per formula unit
**Raw formation energy**: 431 meV/atom
**Raw total energy**: -5.10 eV/atom
**Fermi-level density of states**: 1.6 states/eV per cell
**Theoretical density**: 8.87 g/cm³

=====

Computed, not measured: Cd2SbW after structural relaxation at the GGA-PBE level of DFT. Values from VASP.

Structure (Quantum ESPRESSO input):
```
&SYSTEM
  ibrav = 0, nat = 4, ntyp = 3
/
ATOMIC_SPECIES
Sb 121.76 Sb.upf
W 183.84 W.upf
Cd 112.41 Cd.upf
CELL_PARAMETERS angstrom
2.9652 0.0000 0.0000
0.0000 2.9652 0.0000
0.0000 0.0000 9.7923
ATOMIC_POSITIONS crystal
Sb 0.5000 0.5000 0.2500
W 0.5000 0.5000 0.7500
Cd 0.0000 0.0000 0.9684
Cd 0.0000 0.0000 0.5316
```

Properties
**Total magnetic moment**: 0.000 μB per formula unit
**Raw formation energy**: 575 meV/atom
**Raw total energy**: -4.15 eV/atom
**Fermi-level density of states**: 1.8 states/eV per cell
**Theoretical density**: 10.23 g/cm³